No. 1
The following is a DFT calculation (PBE) of NaLi2Ca2Bi2 after structural relaxation.

```
7
Lattice="2.5134 1.4511 9.0619 -2.5134 1.4511 9.0619 0.0000 -2.9022 9.0619" Properties=species:S:1:pos:R:3 pbc="T T T"
Na 0.0000 0.0000 0.0000
Li 0.0000 0.0000 10.5565
Li 0.0000 0.0000 16.6291
Ca 0.0000 0.0000 3.4692
Ca 0.0000 0.0000 23.7164
Bi 0.0000 0.0000 7.0315
Bi 0.0000 0.0000 20.1542
```

**Space-group type**: R-3m, No. 166
**Size of the total moment**: 0.3 μB/f.u.
**Energy of formation from the pure elements**: -0.540 eV per atom
**Calculated total energy**: -0.1086 hartree per atom
**D(E_F)**: 0.39 states/eV per atom

No. 2
The following is a DFT calculation (PBE) of NaLi2CaBi2 after structural relaxation.

```
6
Lattice="4.9352 0.0000 0.0000 -2.4676 4.2740 0.0000 0.0000 0.0000 7.2975" Properties=species:S:1:pos:R:3 pbc="T T T"
Na 0.0000 0.0000 0.0000
Li 0.0000 2.8493 5.8911
Li 2.4676 1.4247 1.4064
Ca 0.0000 0.0000 3.6487
Bi 0.0000 2.8493 1.8772
Bi 2.4676 1.4247 5.4203
```

**Space-group type**: P-3m1, No. 164
**Size of the total moment**: 0.0 μB/f.u.
**Energy of formation from the pure elements**: -0.566 eV per atom
**Calculated total energy**: -0.1121 hartree per atom
**D(E_F)**: 0.48 states/eV per atom